Compound: LiInTc2
Source: Alexandria via LeMat-Bulk
Functional: PBE
Structure: relaxed

```
LiInTc2
1.0
4.416 -0.034 -0.063
0.010 4.417 0.063
-2.163 -2.242 3.131
In Tc Li
1 2 1
Direct
0.500 0.500 0.000
0.000 0.000 0.000
0.751 0.251 0.500
0.250 0.750 0.500
```

Calculated values
**Energy of formation from the pure elements**: 0.07 eV per atom
**Electronic total energy**: -6.27 eV/atom
**Space-group type**: Imm2, No. 44